Arrangement A

Computed, not measured: a relaxed structure of Li2LaAg at the GGA-PBEsol level of DFT.

As for the crystal system: tetragonal. The calculation puts the total magnetization at 0.00 Bohr magnetons per cell.

Structure (POSCAR):
```
Li2LaAg
1.0
3.4160 0.0000 0.0000
0.0000 3.4160 0.0000
0.0000 0.0000 7.5366
La Li Ag
1 2 1
Cartesian
1.7080 1.7080 5.4272 La
0.0000 0.0000 0.4977 Li
1.7080 1.7080 2.0562 Li
0.0000 0.0000 3.3238 Ag
```


Arrangement B

Computed, not measured: a relaxed structure of Li2LaAg at the GGA-PBEsol level of DFT.

As for the crystal system: trigonal. The calculation puts the total magnetization at 0.00 Bohr magnetons per cell.

Structure (POSCAR):
```
Li2LaAg
1.0
4.5879 0.0000 0.0000
2.2940 3.9733 0.0000
2.2940 1.3244 5.0083
Li La Ag
2 1 1
Cartesian
6.8819 3.9733 0.6046 Li
2.2940 1.3244 1.3518 Li
6.8819 3.9733 3.6844 La
4.5879 2.6488 1.8020 Ag
```


Arrangement C

Computed, not measured: a relaxed structure of Li2LaAg at the GGA-PBEsol level of DFT.

As for the crystal system: monoclinic. The calculation puts the total magnetization at 0.00 Bohr magnetons per cell.

Structure (POSCAR):
```
Li2LaAg
1.0
3.3020 0.0000 0.0000
-1.6510 5.1763 0.0081
0.0000 -1.3249 5.1817
Ag Li La
1 2 1
Cartesian
0.0000 -0.6624 2.5908 Ag
1.6510 1.3894 3.5680 Li
0.0000 2.4620 1.6217 Li
1.6510 0.0000 0.0000 La
```


Most stable structure: arrangement A


Arrangement A

Computed, not measured: a relaxed structure of LaAgMo2 at the GGA-PBEsol level of DFT.

As for the crystal system: orthorhombic. The calculation puts the total magnetization at 0.00 Bohr magnetons per cell.

Structure (POSCAR):
```
LaAgMo2
1.0
-2.8701 0.1341 0.5201
1.5301 -0.9206 2.3103
0.9658 9.0959 2.9848
La Mo Ag
1 2 1
Cartesian
-0.4389 1.7833 2.1294 La
0.9321 8.7781 2.8805 Mo
0.0712 6.5872 3.7058 Mo
0.5102 4.8046 1.5766 Ag
```


Arrangement B

Computed, not measured: a relaxed structure of LaAgMo2 at the GGA-PBEsol level of DFT.

As for the crystal system: tetragonal. The calculation puts the total magnetization at 0.00 Bohr magnetons per cell.

Structure (POSCAR):
```
LaAgMo2
1.0
-2.4382 1.1956 -0.4028
-0.4400 0.0156 2.7098
4.1903 8.7574 0.6299
Mo Ag La
2 1 1
Cartesian
0.9320 1.9478 0.1401 Mo
3.2583 6.8097 0.4898 Mo
-1.4391 0.6056 1.1535 Ag
0.6560 4.9843 1.4685 La
```


Most stable structure: arrangement A


Arrangement A

Computed, not measured: a relaxed structure of La2Ni2Ag at the GGA-PBEsol level of DFT.

As for the crystal system: tetragonal. The calculation puts the total magnetization at 0.00 Bohr magnetons per cell.

Structure (POSCAR):
```
La2Ni2Ag
1.0
-2.8412 -2.4797 3.7840
1.0187 -2.4774 -4.6298
3.4104 -4.1099 -0.1326
Ag Ni La
1 2 2
Cartesian
0.0000 0.0000 0.0000 Ag
1.9496 -5.2624 -1.9847 Ni
-0.3617 -3.8047 1.0063 Ni
0.9363 -6.1810 0.4236 La
0.6516 -2.8861 -1.4020 La
```


Arrangement B

Computed, not measured: a relaxed structure of La2Ni2Ag at the GGA-PBEsol level of DFT.

As for the crystal system: tetragonal. The calculation puts the total magnetization at 0.00 Bohr magnetons per cell.

Structure (POSCAR):
```
La2Ni2Ag
1.0
3.8235 0.0000 0.0000
0.0000 7.3423 0.0000
0.0000 0.0000 7.3423
Ni La Ag
4 4 2
Cartesian
0.0000 0.8788 2.7923 Ni
0.0000 4.5499 0.8788 Ni
0.0000 6.4635 4.5499 Ni
0.0000 2.7923 6.4635 Ni
1.9118 4.9722 6.0412 La
1.9118 1.3011 4.9722 La
1.9118 6.0412 2.3701 La
1.9118 2.3701 1.3011 La
0.0000 0.0000 0.0000 Ag
0.0000 3.6711 3.6711 Ag
```


Most stable structure: arrangement B


Arrangement A

Computed, not measured: a relaxed structure of LaReAg2 at the GGA-PBEsol level of DFT.

As for the crystal system: orthorhombic. The calculation puts the total magnetization at 0.00 Bohr magnetons per cell.

Structure (POSCAR):
```
LaReAg2
1.0
2.8556 0.0000 0.0000
0.0000 4.5703 0.0000
0.0000 0.0000 5.7886
Re La Ag
1 1 2
Cartesian
1.4278 2.2852 2.8943 Re
1.4278 2.2852 0.0000 La
0.0000 0.0000 4.1935 Ag
0.0000 0.0000 1.5952 Ag
```


Arrangement B

Computed, not measured: a relaxed structure of LaReAg2 at the GGA-PBEsol level of DFT.

As for the crystal system: monoclinic. The calculation puts the total magnetization at 0.00 Bohr magnetons per cell.

Structure (POSCAR):
```
LaReAg2
1.0
2.8507 0.0000 0.0000
-1.4253 4.9314 0.0136
0.0000 -0.7703 5.4378
La Ag Re
1 2 1
Cartesian
1.4253 -0.3729 2.7841 La
1.4253 2.2223 1.1816 Ag
1.4253 4.9076 0.0220 Ag
0.0000 1.9504 4.1962 Re
```


Most stable structure: arrangement A


Arrangement A

Computed, not measured: a relaxed structure of LaRe2Ag at the GGA-PBEsol level of DFT.

As for the crystal system: monoclinic. The calculation puts the total magnetization at 0.00 Bohr magnetons per cell.

Structure (POSCAR):
```
LaRe2Ag
1.0
3.0042 0.0013 0.0000
-0.1830 4.9048 0.0000
0.0000 0.0000 5.0252
Re Ag La
2 1 1
Cartesian
2.3065 3.7388 0.0000 Re
0.5147 1.1673 0.0000 Re
-0.0915 2.4524 2.5126 Ag
1.5021 0.0006 2.5126 La
```


Arrangement B

Computed, not measured: a relaxed structure of LaRe2Ag at the GGA-PBEsol level of DFT.

As for the crystal system: orthorhombic. The calculation puts the total magnetization at 0.00 Bohr magnetons per cell.

Structure (POSCAR):
```
LaRe2Ag
1.0
3.1631 0.0000 0.0000
0.0000 4.6786 0.0000
0.0000 0.0000 4.9589
Re Ag La
2 1 1
Cartesian
0.0000 0.0000 0.0000 Re
1.5816 2.3393 0.0000 Re
1.5816 0.0000 2.4794 Ag
0.0000 2.3393 2.4794 La
```


Most stable structure: arrangement A


Arrangement A

Computed, not measured: a relaxed structure of LaAg2Rh at the GGA-PBEsol level of DFT.

As for the crystal system: tetragonal. The calculation puts the total magnetization at 0.00 Bohr magnetons per cell.

Structure (POSCAR):
```
LaAg2Rh
1.0
-1.4130 2.7629 -2.4999
-3.0470 -2.3956 -0.9253
-0.3522 1.7231 5.2795
Ag La Rh
2 1 1
Cartesian
-2.8147 -0.2444 1.3208 Ag
-1.9977 2.3348 0.5335 Ag
0.0000 0.0000 0.0000 La
-2.2300 0.1836 -1.7126 Rh
```


Arrangement B

Computed, not measured: a relaxed structure of LaAg2Rh at the GGA-PBEsol level of DFT.

As for the crystal system: tetragonal. The calculation puts the total magnetization at 0.00 Bohr magnetons per cell.

Structure (POSCAR):
```
LaAg2Rh
1.0
-2.0435 0.2024 -3.4353
-0.3173 -3.9894 -0.0463
-4.0900 0.2969 2.4505
Ag Rh La
2 1 1
Cartesian
-0.1587 -1.9947 -0.0231 Ag
-1.0217 0.1012 -1.7176 Ag
-2.0450 0.1485 1.2253 Rh
-3.2254 -1.7450 -0.5155 La
```


Most stable structure: arrangement A